Entry from Alexandria via LeMat-Bulk: a geometry-optimized TmPd6Pt structure (PBE).

Cell: 5.2288 5.2288 7.8533 Å, 70.55 70.55 60.00°
Positions (direct):
1 Pd 0.0632 0.5587 0.3149
2 Pd 0.9368 0.9368 0.6851
3 Pd 0.0632 0.0632 0.3149
4 Pd 0.9368 0.4413 0.6851
5 Pd 0.4413 0.9368 0.6851
6 Pd 0.5587 0.0632 0.3149
7 Pt 0.5000 0.5000 0.5000
8 Tm 0.0000 0.0000 0.0000

**Total magnetic moment**: 0.00 μB/cell
**ΔE to the lowest computed polymorph**: 0.583 eV per atom